# PaAgSnBi GGA-PBE relaxed
# **Calculated formation energy**: 10 kJ per mole of atoms
data_PaAgSnBi
_cell_length_a 7.434
_cell_length_b 7.434
_cell_length_c 7.434
_cell_angle_alpha 90.00
_cell_angle_beta 90.00
_cell_angle_gamma 90.00
_symmetry_space_group_name_H-M 'F -4 3 m'
_symmetry_Int_Tables_number 216
_symmetry_space_group_name_Hall 'F -4 2 3'
loop_
_atom_site_label
_atom_site_type_symbol
_atom_site_fract_x
_atom_site_fract_y
_atom_site_fract_z
Pa1 Pa 0.000 0.000 0.000
Ag1 Ag 0.000 0.000 0.500
Sn1 Sn 0.250 0.250 0.250
Bi1 Bi 0.250 0.250 0.750

***

# Ca4Cu2Sn5 GGA-PBE relaxed
# **Calculated formation energy**: -37 kJ per mole of atoms
data_Ca4Cu2Sn5
_cell_length_a 7.760
_cell_length_b 3.613
_cell_length_c 9.980
_cell_angle_alpha 90.00
_cell_angle_beta 93.54
_cell_angle_gamma 90.00
_symmetry_space_group_name_H-M 'P 1 2/m 1'
_symmetry_Int_Tables_number 10
_symmetry_space_group_name_Hall '-P 2y'
loop_
_atom_site_label
_atom_site_type_symbol
_atom_site_fract_x
_atom_site_fract_y
_atom_site_fract_z
Ca1 Ca 0.176 0.000 0.374
Ca2 Ca 0.252 0.000 0.937
Cu1 Cu 0.060 0.500 0.124
Sn1 Sn 0.170 0.500 0.664
Sn2 Sn 0.428 0.500 0.186
Sn3 Sn 0.500 0.500 0.500

***

# TmSc3Cd GGA-PBE relaxed
# **Polymorph energy (0 for the lowest one)**: 96 meV/atom
# **Calculated formation energy**: 1 kJ per mole of atoms
data_TmSc3Cd
_cell_length_a 5.312
_cell_length_b 6.291
_cell_length_c 7.823
_cell_angle_alpha 90.00
_cell_angle_beta 107.81
_cell_angle_gamma 90.00
_symmetry_space_group_name_H-M 'P 1 21/m 1'
_symmetry_Int_Tables_number 11
_symmetry_space_group_name_Hall '-P 2yb'
loop_
_atom_site_label
_atom_site_type_symbol
_atom_site_fract_x
_atom_site_fract_y
_atom_site_fract_z
Tm1 Tm 0.119 0.250 0.193
Sc1 Sc 0.308 0.501 0.619
Sc2 Sc 0.476 0.750 0.025
Cd1 Cd 0.106 0.750 0.257

***

# CoNi2Rh GGA-PBE relaxed
# **Polymorph energy (0 for the lowest one)**: 34 meV/atom
# **Calculated formation energy**: 4 kJ per mole of atoms
data_CoNi2Rh
_cell_length_a 8.490
_cell_length_b 2.602
_cell_length_c 4.410
_cell_angle_alpha 90.00
_cell_angle_beta 100.79
_cell_angle_gamma 90.00
_symmetry_space_group_name_H-M 'C 1 2/m 1'
_symmetry_Int_Tables_number 12
_symmetry_space_group_name_Hall '-C 2y'
loop_
_atom_site_label
_atom_site_type_symbol
_atom_site_fract_x
_atom_site_fract_y
_atom_site_fract_z
Co1 Co 0.000 0.000 0.000
Ni1 Ni 0.247 0.500 0.241
Rh1 Rh 0.000 0.500 0.500

***

# PrZnSi GGA-PBE relaxed
# **Uncorrected formation energy**: -631 meV/atom
data_PrZnSi
_cell_length_a 4.1965
_cell_length_b 4.1965
_cell_length_c 4.2943
_cell_angle_alpha 90.00
_cell_angle_beta 90.00
_cell_angle_gamma 120.00
_symmetry_space_group_name_H-M 'P -6 m 2'
_symmetry_Int_Tables_number 187
_symmetry_space_group_name_Hall 'P -6 2'
loop_
_atom_site_label
_atom_site_type_symbol
_atom_site_fract_x
_atom_site_fract_y
_atom_site_fract_z
Pr1 Pr 0.0000 0.0000 0.0000
Zn1 Zn 0.3333 0.6667 0.5000
Si1 Si 0.6667 0.3333 0.5000

***

# PrDy3Ho2P6 GGA-PBE relaxed
# **Calculated formation energy**: -153 kJ per mole of atoms
data_PrDy3Ho2P6
_cell_length_a 6.989
_cell_length_b 12.104
_cell_length_c 6.989
_cell_angle_alpha 90.00
_cell_angle_beta 109.47
_cell_angle_gamma 90.00
_symmetry_space_group_name_H-M 'C 1 2/m 1'
_symmetry_Int_Tables_number 12
_symmetry_space_group_name_Hall '-C 2y'
loop_
_atom_site_label
_atom_site_type_symbol
_atom_site_fract_x
_atom_site_fract_y
_atom_site_fract_z
Pr1 Pr 0.000 0.000 0.000
Dy1 Dy 0.000 0.165 0.500
Dy2 Dy 0.000 0.500 0.500
Ho1 Ho 0.000 0.333 0.000
P1 P 0.244 0.500 0.253
P2 P 0.245 0.330 0.747

***

# Sc2WBr GGA-PBE relaxed
# **Polymorph energy (0 for the lowest one)**: 463 meV/atom
# **Uncorrected formation energy**: 192 meV/atom
data_Sc2WBr
_cell_length_a 3.199
_cell_length_b 4.726
_cell_length_c 11.032
_cell_angle_alpha 90.00
_cell_angle_beta 90.00
_cell_angle_gamma 90.00
_symmetry_space_group_name_H-M 'I m m 2'
_symmetry_Int_Tables_number 44
_symmetry_space_group_name_Hall 'I 2 -2'
loop_
_atom_site_label
_atom_site_type_symbol
_atom_site_fract_x
_atom_site_fract_y
_atom_site_fract_z
Sc1 Sc 0.000 0.000 0.000
Sc2 Sc 0.000 0.500 0.215
W1 W 0.000 0.500 0.717
Br1 Br 0.000 0.000 0.418

***

# Ba2LaPt GGA-PBE relaxed
# **Polymorph energy (0 for the lowest one)**: 511 meV/atom
# **Calculated formation energy**: -6 kJ per mole of atoms
data_Ba2LaPt
_cell_length_a 4.627
_cell_length_b 4.627
_cell_length_c 6.178
_cell_angle_alpha 90.00
_cell_angle_beta 90.00
_cell_angle_gamma 90.00
_symmetry_space_group_name_H-M 'P 4/m m m'
_symmetry_Int_Tables_number 123
_symmetry_space_group_name_Hall '-P 4 2'
loop_
_atom_site_label
_atom_site_type_symbol
_atom_site_fract_x
_atom_site_fract_y
_atom_site_fract_z
Ba1 Ba 0.000 0.500 0.000
La1 La 0.000 0.000 0.500
Pt1 Pt 0.500 0.500 0.500

***

# NaVAg2 GGA-PBE relaxed
# **Polymorph energy (0 for the lowest one)**: 183 meV/atom
# **Calculated formation energy**: 63 kJ per mole of atoms
data_NaVAg2
_cell_length_a 7.612
_cell_length_b 7.612
_cell_length_c 5.790
_cell_angle_alpha 90.00
_cell_angle_beta 90.00
_cell_angle_gamma 90.00
_symmetry_space_group_name_H-M 'I -4 2 d'
_symmetry_Int_Tables_number 122
_symmetry_space_group_name_Hall 'I -4 2bw'
loop_
_atom_site_label
_atom_site_type_symbol
_atom_site_fract_x
_atom_site_fract_y
_atom_site_fract_z
Na1 Na 0.000 0.000 0.000
V1 V 0.000 0.000 0.500
Ag1 Ag 0.237 0.250 0.625

***

# Na2Cd2Au GGA-PBE relaxed
# **Polymorph energy (0 for the lowest one)**: 243 meV/atom
# **Calculated formation energy**: 3 kJ per mole of atoms
data_Na2Cd2Au
_cell_length_a 7.465
_cell_length_b 7.465
_cell_length_c 4.696
_cell_angle_alpha 90.00
_cell_angle_beta 90.00
_cell_angle_gamma 90.00
_symmetry_space_group_name_H-M 'P 4/m b m'
_symmetry_Int_Tables_number 127
_symmetry_space_group_name_Hall '-P 4 2ab'
loop_
_atom_site_label
_atom_site_type_symbol
_atom_site_fract_x
_atom_site_fract_y
_atom_site_fract_z
Na1 Na 0.150 0.350 0.000
Cd1 Cd 0.155 0.655 0.500
Au1 Au 0.000 0.000 0.000

***

# La3PmTm6 GGA-PBE relaxed
# **Polymorph energy (0 for the lowest one)**: 0 meV/atom
# **Calculated formation energy**: 22 kJ per mole of atoms
data_La3PmTm6
_cell_length_a 11.476
_cell_length_b 12.704
_cell_length_c 9.396
_cell_angle_alpha 90.00
_cell_angle_beta 90.00
_cell_angle_gamma 90.00
_symmetry_space_group_name_H-M 'C m c 21'
_symmetry_Int_Tables_number 36
_symmetry_space_group_name_Hall 'C 2c -2'
loop_
_atom_site_label
_atom_site_type_symbol
_atom_site_fract_x
_atom_site_fract_y
_atom_site_fract_z
La1 La 0.000 0.021 0.000
La2 La 0.194 0.390 0.900
Pm1 Pm 0.000 0.259 0.317
Tm1 Tm 0.000 0.237 0.722
Tm2 Tm 0.000 0.487 0.637
Tm3 Tm 0.221 0.090 0.719
Tm4 Tm 0.239 0.341 0.556

***

# NaBiTe2W GGA-PBE relaxed
# **Uncorrected formation energy**: 1519 meV/atom
data_NaBiTe2W
_cell_length_a 5.419
_cell_length_b 5.419
_cell_length_c 5.194
_cell_angle_alpha 90.00
_cell_angle_beta 90.00
_cell_angle_gamma 90.00
_symmetry_space_group_name_H-M 'P 4/m m m'
_symmetry_Int_Tables_number 123
_symmetry_space_group_name_Hall '-P 4 2'
loop_
_atom_site_label
_atom_site_type_symbol
_atom_site_fract_x
_atom_site_fract_y
_atom_site_fract_z
Na1 Na 0.000 0.000 0.000
Bi1 Bi 0.500 0.500 0.500
Te1 Te 0.000 0.500 0.000
W1 W 0.000 0.000 0.500

***

| no. | size of the total moment (μB/atom) | VASP energy (eV/atom) | N(E_F) (states/eV/atom) |
| --- | --- | --- | --- |
| 1 | 0.0004 | -4.956 | 1.38 |
| 2 | 0.0000 | -3.681 | 0.32 |
| 3 | 0.1719 | -4.869 | 1.59 |
| 4 | 1.0024 | -6.459 | 1.31 |
| 5 | 0.0000 | -4.457 | 0.59 |
| 6 | 0.0000 | -6.604 | 0.14 |
| 7 | 0.0000 | -6.630 | 1.00 |
| 8 | 0.0000 | -3.770 | 0.93 |
| 9 | 0.9179 | -3.379 | 1.07 |
| 10 | 0.0000 | -1.521 | 0.30 |
| 11 | 0.0000 | -4.407 | 1.47 |
| 12 | 0.7896 | -3.368 | 0.81 |